1.
The following is a GGA-PBE calculation of a geometry-optimized LaTl2CuN structure, from the Alexandria database.

Calculated values
Its energy relative to the elements, uncorrected is 75 kJ per mole of atoms. The calculated density comes out at 7.9 g/cm3. As for the size of the total moment: 0.000 μB per atom.

Cell lengths 4.814, 5.692, 4.814 Å; angles 90.00, 90.00, 90.00 degrees
Atoms (fractional coordinates):
La  0.000  0.500  0.000
Tl  0.500  0.000  0.000
Tl  0.000  0.000  0.500
Cu  0.000  0.000  0.000
N  0.500  0.500  0.500

=====

2.
The following is a GGA-PBE calculation of a geometry-optimized LaCu2WN structure, from the Alexandria database.

Calculated values
Its energy relative to the elements, uncorrected is 180 kJ per mole of atoms. The calculated density comes out at 6.5 g/cm3. As for the size of the total moment: 0.000 μB per atom.

Cell lengths 4.545, 5.739, 4.545 Å; angles 90.00, 90.00, 90.00 degrees
Atoms (fractional coordinates):
W  0.000  0.000  0.000
La  0.000  0.500  0.000
N  0.500  0.500  0.500
Cu  0.500  0.000  0.000
Cu  0.000  0.000  0.500

=====

3.
The following is a GGA-PBE calculation of a geometry-optimized La2YCuN structure, from the Alexandria database.

Calculated values
Its energy relative to the elements, uncorrected is -52 kJ per mole of atoms. The calculated density comes out at 6.0 g/cm3. As for the size of the total moment: 0.000 μB per atom.

Cell lengths 5.121, 5.121, 4.667 Å; angles 90.00, 90.00, 90.00 degrees
Atoms (fractional coordinates):
La  0.000  0.500  0.000
La  0.500  0.000  0.000
Cu  0.500  0.500  0.500
N  0.000  0.000  0.000
Y  0.000  0.000  0.500

=====

4.
The following is a GGA-PBE calculation of a geometry-optimized La2ZnCuN structure, from the Alexandria database.

Calculated values
Its energy relative to the elements, uncorrected is -50 kJ per mole of atoms. The value obtained for the energy relative to the lowest polymorph listed for this composition is 66.0 meV/atom. The calculated density comes out at 6.7 g/cm3. As for the size of the total moment: 0.000 μB per atom.

Cell lengths 5.203, 5.203, 3.879 Å; angles 90.00, 90.00, 90.00 degrees
Atoms (fractional coordinates):
La  0.500  0.000  0.000
Cu  0.000  0.000  0.500
N  0.000  0.000  0.000
Zn  0.500  0.500  0.500
La  0.000  0.500  0.000

=====

5.
The following is a GGA-PBE calculation of a geometry-optimized La2ZnCuN structure, from the Alexandria database.

Calculated values
Its energy relative to the elements, uncorrected is -39 kJ per mole of atoms. The value obtained for the energy relative to the lowest polymorph listed for this composition is 174.0 meV/atom. The calculated density comes out at 6.6 g/cm3. As for the size of the total moment: 0.000 μB per atom.

Cell lengths 5.128, 5.128, 4.045 Å; angles 90.00, 90.00, 90.00 degrees
Atoms (fractional coordinates):
N  0.000  0.000  0.000
La  0.000  0.500  0.000
Cu  0.500  0.500  0.500
Zn  0.000  0.000  0.500
La  0.500  0.000  0.000

=====

6.
The following is a GGA-PBE calculation of a geometry-optimized La2ZnCuN structure, from the Alexandria database.

Calculated values
Its energy relative to the elements, uncorrected is -56 kJ per mole of atoms. The value obtained for the energy relative to the lowest polymorph listed for this composition is 0.0 meV/atom. The calculated density comes out at 6.4 g/cm3. As for the size of the total moment: 0.000 μB per atom.

Cell lengths 3.900, 7.260, 8.030 Å; angles 107.39, 90.00, 90.00 degrees
Atoms (fractional coordinates):
N  0.250  0.851  0.828
La  0.750  0.802  0.608
Zn  0.750  0.347  0.712
Zn  0.250  0.653  0.288
La  0.250  0.196  0.953
La  0.250  0.198  0.392
Cu  0.250  0.561  0.758
La  0.750  0.804  0.047
Cu  0.750  0.439  0.242
N  0.750  0.149  0.172

=====

7.
The following is a GGA-PBE calculation of a geometry-optimized Na2LaCu structure, from the Alexandria database.

Calculated values
The value obtained for the energy relative to the lowest polymorph listed for this composition is 0.0 meV/atom. The calculated density comes out at 3.6 g/cm3. As for the size of the total moment: 0.000 μB per atom. As for the formation energy: 0.979 eV per formula unit.

Cell lengths 4.272, 4.272, 12.948 Å; angles 80.51, 80.51, 90.00 degrees
Atoms (fractional coordinates):
La  0.750  0.250  0.500
Na  0.375  0.404  0.750
Na  0.154  0.625  0.250
La  0.000  0.000  0.000
Na  0.596  0.125  0.250
Na  0.875  0.846  0.750
Cu  0.250  0.750  0.500
Cu  0.500  0.500  0.000

=====

8.
The following is a GGA-PBE calculation of a geometry-optimized NaLaCu4 structure, from the Alexandria database.

Calculated values
The calculated density comes out at 6.6 g/cm3. As for the size of the total moment: 0.000 μB per atom. As for the formation energy: -0.117 eV per formula unit.

Cell lengths 5.278, 5.278, 5.278 Å; angles 60.00, 60.00, 60.00 degrees
Atoms (fractional coordinates):
Cu  0.623  0.623  0.132
Cu  0.623  0.623  0.623
Cu  0.132  0.623  0.623
Na  0.250  0.250  0.250
La  0.000  0.000  0.000
Cu  0.623  0.132  0.623